A plane-wave DFT calculation with GGA-PBE was carried out for a relaxed structure of Cs3Sr2Br3Cl4.

Calculated values
For the formation energy from raw total energies, the calculation gives -2115 meV per atom. Its space-group type is Imm2, No. 44. Its density of states at the Fermi level is 0.000 states/eV per atom.

a = 5.7121 Å, b = 6.0046 Å, c = 15.3165 Å
α = 101.30°, β = 100.75°, γ = 90.00°
Last column: nearest neighbours and their distance in Å.
Sites, in units of the cell vectors:
Cl1 0.4004 0.8978 0.7955  2 Sr 2.86
Cs1 0.3101 0.3143 0.6287  1 Cl 3.37
Br1 0.0952 0.5952 0.1904  2 Sr 3.02
Br2 0.0034 0.0000 0.0000  2 Sr 3.09
Cs2 0.5024 0.5000 0.0000  8 Br 4.00-4.15, 4 Cl 4.25
Cl2 0.2101 0.2000 0.4000  1 Sr 2.81
Cs3 0.6814 0.6857 0.3713  1 Cl 3.37
Sr1 0.1073 0.1048 0.2096  3 Cl 2.81-2.86, 3 Br 3.02-3.09
Br3 0.9048 0.4048 0.8096  2 Sr 3.02
Cl3 0.6049 0.1022 0.2045  2 Sr 2.86
Sr2 0.8977 0.8952 0.7904  3 Cl 2.81-2.86, 3 Br 3.02-3.09
Cl4 0.8101 0.8000 0.6000  1 Sr 2.81